[1]
Computed, not measured: an optimized crystal structure of RbTaN3 at the PBE level of DFT.

Cell lengths 4.062, 4.062, 4.062 Å; angles 90.00, 90.00, 90.00 degrees
Space group Pm-3m (No. 221)
Symmetry-distinct sites (fractional):
Rb: 0.000 0.000 0.000 x1
Ta: 0.500 0.500 0.500 x1
N: 0.000 0.000 0.500 x3

Results
**E_tot**: -4.307 eV/atom
**Uncorrected formation energy**: 3.252 eV/atom
**V**: 13.407 Å³/atom

[2]
Computed, not measured: an optimized crystal structure of BaTa4Hg at the PBE level of DFT.

Cell lengths 8.171, 8.171, 8.171 Å; angles 90.00, 90.00, 90.00 degrees
Space group F-43m (No. 216)
Symmetry-distinct sites (fractional):
Ba: 0.000 0.000 0.000 x4
Ta: 0.128 0.128 0.372 x16
Hg: 0.250 0.250 0.750 x4

Results
**E_tot**: -7.464 eV/atom
**ΔE_f**: 0.81 eV/atom
**V**: 22.728 Å³/atom